[1]
{
  "formula": "ZrGeMo3",
  "functional": "PBE",
  "state": "optimized geometry",
  "lattice_angstrom": [[4.825, 0.000, 0.000], [0.000, 4.825, 0.000], [0.000, 0.000, 4.825]],
  "species": ["Zr", "Ge", "Mo", "Mo", "Mo"],
  "fractional_positions": [[0.000, 0.000, 0.000], [0.500, 0.500, 0.500], [0.000, 0.000, 0.500], [0.000, 0.500, 0.000], [0.500, 0.000, 0.000]],
  "formation_enthalpy_0k_ev_per_atom": 2.10,
  "energy_ev_per_cell": -35.17,
  "relative_energy_kj_per_mol_atoms": 112.3,
  "sg": "Pm-3m (221)",
  "crystal_system": "cubic"
}

[2]
{
  "formula": "RbHoI4",
  "functional": "PBE",
  "state": "optimized geometry",
  "lattice_angstrom": [[3.043, -11.375, 0.000], [3.043, 11.375, 0.000], [0.000, 0.000, 8.474]],
  "species": ["Rb", "Rb", "Ho", "Ho", "I", "I", "I", "I", "I", "I", "I", "I"],
  "fractional_positions": [[0.161, 0.839, 0.500], [0.839, 0.161, 0.000], [0.409, 0.591, 0.566], [0.591, 0.409, 0.066], [0.082, 0.918, 0.082], [0.300, 0.700, 0.756], [0.343, 0.657, 0.271], [0.471, 0.529, 0.898], [0.529, 0.471, 0.398], [0.657, 0.343, 0.771], [0.700, 0.300, 0.256], [0.918, 0.082, 0.582]],
  "energy_ev_per_cell": -40.22,
  "relative_energy_kj_per_mol_atoms": 3.1,
  "e_form_raw_ev_per_atom": -1.394,
  "sg": "Cmc2_1 (36)",
  "crystal_system": "orthorhombic"
}

[3]
{
  "formula": "ZnCdTeP",
  "functional": "PBE",
  "state": "optimized geometry",
  "lattice_angstrom": [[4.417, 0.000, 0.000], [2.204, 3.830, 0.000], [0.333, 2.251, 6.164]],
  "species": ["Zn", "Cd", "Te", "P"],
  "fractional_positions": [[0.000, 0.000, 0.000], [0.778, 0.795, 0.622], [0.695, 0.577, 0.159], [0.114, 0.125, 0.626]],
  "energy_ev_per_cell": -11.08,
  "relative_energy_kj_per_mol_atoms": 2.5,
  "e_form_raw_ev_per_atom": -0.085,
  "sg": "P1 (1)",
  "crystal_system": "triclinic"
}

[4]
{
  "formula": "Hf2ZrAs",
  "functional": "PBE",
  "state": "optimized geometry",
  "lattice_angstrom": [[1.813, -5.262, 0.000], [1.813, 5.262, 0.000], [0.000, 0.000, 8.603]],
  "species": ["Hf", "Hf", "Hf", "Hf", "Zr", "Zr", "As", "As"],
  "fractional_positions": [[0.136, 0.864, 0.539], [0.136, 0.864, 0.961], [0.864, 0.136, 0.039], [0.864, 0.136, 0.461], [0.441, 0.559, 0.750], [0.559, 0.441, 0.250], [0.271, 0.729, 0.250], [0.729, 0.271, 0.750]],
  "formation_enthalpy_0k_ev_per_atom": -0.67,
  "energy_ev_per_cell": -71.57,
  "sg": "Cmcm (63)",
  "crystal_system": "orthorhombic"
}

[5]
{
  "formula": "Cs2UTe4As",
  "functional": "PBE",
  "state": "optimized geometry",
  "lattice_angstrom": [[0.000, 9.053, 15.202], [2.816, 0.000, 15.202], [2.816, 9.053, 0.000]],
  "species": ["Cs", "Cs", "Cs", "Cs", "U", "U", "Te", "Te", "Te", "Te", "Te", "Te", "Te", "Te", "As", "As"],
  "fractional_positions": [[0.044, 0.044, 0.706], [0.294, 0.294, 0.956], [0.706, 0.706, 0.044], [0.956, 0.956, 0.294], [0.125, 0.125, 0.125], [0.875, 0.875, 0.875], [0.037, 0.331, 0.418], [0.286, 0.582, 0.669], [0.331, 0.037, 0.714], [0.418, 0.714, 0.037], [0.582, 0.286, 0.963], [0.669, 0.963, 0.286], [0.714, 0.418, 0.331], [0.963, 0.669, 0.582], [0.375, 0.375, 0.375], [0.625, 0.625, 0.625]],
  "energy_ev_per_cell": -69.38,
  "e_form_raw_ev_per_atom": -0.560,
  "sg": "Fddd (70)",
  "crystal_system": "orthorhombic"
}

[6]
{
  "formula": "Sc2CuPb",
  "functional": "PBE",
  "state": "optimized geometry",
  "lattice_angstrom": [[3.421, 0.000, 0.000], [0.000, 3.445, 0.000], [0.000, 0.000, 7.109]],
  "species": ["Sc", "Sc", "Cu", "Pb"],
  "fractional_positions": [[0.000, 0.000, 0.216], [0.000, 0.000, 0.784], [0.500, 0.500, 0.000], [0.500, 0.500, 0.500]],
  "formation_enthalpy_0k_ev_per_atom": -0.28,
  "energy_ev_per_cell": -21.58,
  "sg": "Pmmm (47)",
  "crystal_system": "orthorhombic"
}

Number 1: N(E_F) 1.069 states/eV per atom. Number 2: N(E_F) 0.000 states/eV per atom. Number 3: N(E_F) 0.213 states/eV per atom. Number 4: N(E_F) 0.748 states/eV per atom. Number 5: N(E_F) 0.790 states/eV per atom. Number 6: N(E_F) 0.980 states/eV per atom.